# 1
SrAcPrMg | GGA-PBE | optimized geometry

```
data_SrAcPrMg
_chemical_formula_sum 'Sr1 Ac1 Pr1 Mg1'
_cell_length_a 3.938
_cell_length_b 3.938
_cell_length_c 10.084
_cell_angle_alpha 90.00
_cell_angle_beta 90.00
_cell_angle_gamma 90.00
_space_group_name_H-M_alt 'P 4 m m'
_space_group_IT_number 99
loop_
_space_group_symop_operation_xyz
'x,y,z'
'-y,x,z'
'-x,-y,z'
'y,-x,z'
'-x,y,z'
'y,x,z'
'x,-y,z'
'-y,-x,z'
loop_
_atom_site_label
_atom_site_fract_x
_atom_site_fract_y
_atom_site_fract_z
Sr1 0.000 0.000 0.000
Ac1 0.500 0.500 0.683
Pr1 0.000 0.000 0.427
Mg1 0.500 0.500 0.231
```

Values from the calculation:
For the total DFT energy (no corrections), the calculation gives -3.049 eV/atom. The calculation puts the formation energy at -7 meV per atom.

# 2
SrAcPrMg | GGA-PBE | optimized geometry

```
data_SrAcPrMg
_chemical_formula_sum 'Sr4 Ac4 Pr4 Mg4'
_cell_length_a 8.524
_cell_length_b 8.524
_cell_length_c 8.524
_cell_angle_alpha 90.00
_cell_angle_beta 90.00
_cell_angle_gamma 90.00
_space_group_name_H-M_alt 'F -4 3 m'
_space_group_IT_number 216
_space_group_name_Hall 'F -4 2 3'
loop_
_atom_site_label
_atom_site_fract_x
_atom_site_fract_y
_atom_site_fract_z
Sr1 0.000 0.000 0.000
Ac1 0.250 0.250 0.750
Pr1 0.000 0.000 0.500
Mg1 0.250 0.250 0.250
```

Values from the calculation:
For the total DFT energy (no corrections), the calculation gives -2.896 eV/atom. The calculation puts the formation energy at 145 meV per atom.

# 3
AcTbPrMg | GGA-PBE | optimized geometry

```
data_AcTbPrMg
_chemical_formula_sum 'Ac1 Tb1 Pr1 Mg1'
_cell_length_a 3.853
_cell_length_b 3.853
_cell_length_c 9.108
_cell_angle_alpha 90.00
_cell_angle_beta 90.00
_cell_angle_gamma 90.00
_space_group_name_H-M_alt 'P 4 m m'
_space_group_IT_number 99
loop_
_space_group_symop_operation_xyz
'x,y,z'
'-y,x,z'
'-x,-y,z'
'y,-x,z'
'-x,y,z'
'y,x,z'
'x,-y,z'
'-y,-x,z'
loop_
_atom_site_label
_atom_site_fract_x
_atom_site_fract_y
_atom_site_fract_z
Ac1 0.000 0.000 0.000
Tb1 0.500 0.500 0.282
Pr1 0.500 0.500 0.705
Mg1 0.000 0.000 0.484
```

Values from the calculation:
For the total DFT energy (no corrections), the calculation gives -3.804 eV/atom. The calculation puts the formation energy at -26 meV per atom.

# 4
AcTbPrMg | GGA-PBE | optimized geometry

```
data_AcTbPrMg
_chemical_formula_sum 'Ac4 Tb4 Pr4 Mg4'
_cell_length_a 8.170
_cell_length_b 8.170
_cell_length_c 8.170
_cell_angle_alpha 90.00
_cell_angle_beta 90.00
_cell_angle_gamma 90.00
_space_group_name_H-M_alt 'F -4 3 m'
_space_group_IT_number 216
_space_group_name_Hall 'F -4 2 3'
loop_
_atom_site_label
_atom_site_fract_x
_atom_site_fract_y
_atom_site_fract_z
Ac1 0.000 0.000 0.000
Tb1 0.250 0.250 0.750
Pr1 0.250 0.250 0.250
Mg1 0.000 0.000 0.500
```

Values from the calculation:
For the total DFT energy (no corrections), the calculation gives -3.668 eV/atom. The calculation puts the formation energy at 110 meV per atom.

# 5
AcPrMg2Tl4 | GGA-PBE | optimized geometry

```
data_AcPrMg2Tl4
_chemical_formula_sum 'Ac3 Pr3 Mg6 Tl12'
_cell_length_a 5.4066
_cell_length_b 5.4066
_cell_length_c 27.2962
_cell_angle_alpha 90.00
_cell_angle_beta 90.00
_cell_angle_gamma 120.00
_space_group_name_H-M_alt 'R -3 m'
_space_group_IT_number 166
_space_group_name_Hall '-R 3 2"'
loop_
_atom_site_label
_atom_site_fract_x
_atom_site_fract_y
_atom_site_fract_z
Ac1 0.0000 0.0000 0.0000
Pr1 0.0000 0.0000 0.5000
Mg1 0.0000 0.0000 0.2477
Tl1 0.0000 0.0000 0.1260
Tl2 0.0000 0.0000 0.3802
```

Values from the calculation:
For the total DFT energy (no corrections), the calculation gives -2.945 eV/atom. The calculation puts the formation energy at -252 meV per atom.

# 6
Ac3Pr2Mg2Tl4 | GGA-PBE | optimized geometry

```
data_Ac3Pr2Mg2Tl4
_chemical_formula_sum 'Ac3 Pr2 Mg2 Tl4'
_cell_length_a 5.2019
_cell_length_b 5.2019
_cell_length_c 16.1211
_cell_angle_alpha 90.00
_cell_angle_beta 90.00
_cell_angle_gamma 120.00
_space_group_name_H-M_alt 'P -3 m 1'
_space_group_IT_number 164
_space_group_name_Hall '-P 3 2"'
loop_
_atom_site_label
_atom_site_fract_x
_atom_site_fract_y
_atom_site_fract_z
Ac1 0.0000 0.0000 0.0000
Ac2 0.0000 0.0000 0.2538
Pr1 0.3333 0.6667 0.5680
Mg1 0.3333 0.6667 0.1264
Tl1 0.3333 0.6667 0.3589
Tl2 0.3333 0.6667 0.8792
```

Values from the calculation:
For the total DFT energy (no corrections), the calculation gives -3.343 eV/atom. The calculation puts the formation energy at -203 meV per atom.

# 7
AcPrTmMg | GGA-PBE | optimized geometry

```
data_AcPrTmMg
_chemical_formula_sum 'Ac1 Pr1 Tm1 Mg1'
_cell_length_a 3.833
_cell_length_b 3.833
_cell_length_c 9.079
_cell_angle_alpha 90.00
_cell_angle_beta 90.00
_cell_angle_gamma 90.00
_space_group_name_H-M_alt 'P 4 m m'
_space_group_IT_number 99
loop_
_space_group_symop_operation_xyz
'x,y,z'
'-y,x,z'
'-x,-y,z'
'y,-x,z'
'-x,y,z'
'y,x,z'
'x,-y,z'
'-y,-x,z'
loop_
_atom_site_label
_atom_site_fract_x
_atom_site_fract_y
_atom_site_fract_z
Ac1 0.000 0.000 0.000
Pr1 0.500 0.500 0.701
Tm1 0.500 0.500 0.279
Mg1 0.000 0.000 0.476
```

Values from the calculation:
For the total DFT energy (no corrections), the calculation gives -3.748 eV/atom. The calculation puts the formation energy at -10 meV per atom.

# 8
AcPrTmMg | GGA-PBE | optimized geometry

```
data_AcPrTmMg
_chemical_formula_sum 'Ac4 Pr4 Tm4 Mg4'
_cell_length_a 8.132
_cell_length_b 8.132
_cell_length_c 8.132
_cell_angle_alpha 90.00
_cell_angle_beta 90.00
_cell_angle_gamma 90.00
_space_group_name_H-M_alt 'F -4 3 m'
_space_group_IT_number 216
_space_group_name_Hall 'F -4 2 3'
loop_
_atom_site_label
_atom_site_fract_x
_atom_site_fract_y
_atom_site_fract_z
Ac1 0.000 0.000 0.000
Pr1 0.000 0.000 0.500
Tm1 0.250 0.250 0.250
Mg1 0.250 0.250 0.750
```

Values from the calculation:
For the total DFT energy (no corrections), the calculation gives -3.712 eV/atom. The calculation puts the formation energy at 27 meV per atom.

# 9
AcPrYMg | GGA-PBE | optimized geometry

```
data_AcPrYMg
_chemical_formula_sum 'Ac4 Pr4 Y4 Mg4'
_cell_length_a 8.174
_cell_length_b 8.174
_cell_length_c 8.174
_cell_angle_alpha 90.00
_cell_angle_beta 90.00
_cell_angle_gamma 90.00
_space_group_name_H-M_alt 'F -4 3 m'
_space_group_IT_number 216
_space_group_name_Hall 'F -4 2 3'
loop_
_atom_site_label
_atom_site_fract_x
_atom_site_fract_y
_atom_site_fract_z
Ac1 0.000 0.000 0.000
Pr1 0.250 0.250 0.750
Y1 0.250 0.250 0.250
Mg1 0.000 0.000 0.500
```

Values from the calculation:
For the total DFT energy (no corrections), the calculation gives -4.128 eV/atom. The calculation puts the formation energy at 109 meV per atom.

# 10
AcPrYMg | GGA-PBE | optimized geometry

```
data_AcPrYMg
_chemical_formula_sum 'Ac1 Pr1 Y1 Mg1'
_cell_length_a 3.855
_cell_length_b 3.855
_cell_length_c 9.121
_cell_angle_alpha 90.00
_cell_angle_beta 90.00
_cell_angle_gamma 90.00
_space_group_name_H-M_alt 'P 4 m m'
_space_group_IT_number 99
loop_
_space_group_symop_operation_xyz
'x,y,z'
'-y,x,z'
'-x,-y,z'
'y,-x,z'
'-x,y,z'
'y,x,z'
'x,-y,z'
'-y,-x,z'
loop_
_atom_site_label
_atom_site_fract_x
_atom_site_fract_y
_atom_site_fract_z
Ac1 0.000 0.000 0.000
Pr1 0.500 0.500 0.706
Y1 0.500 0.500 0.284
Mg1 0.000 0.000 0.484
```

Values from the calculation:
For the total DFT energy (no corrections), the calculation gives -4.267 eV/atom. The calculation puts the formation energy at -30 meV per atom.

# 11
AcPrMgZn | GGA-PBE | optimized geometry

```
data_AcPrMgZn
_chemical_formula_sum 'Ac1 Pr1 Mg1 Zn1'
_cell_length_a 3.881
_cell_length_b 3.881
_cell_length_c 7.957
_cell_angle_alpha 90.00
_cell_angle_beta 90.00
_cell_angle_gamma 90.00
_space_group_name_H-M_alt 'P 4 m m'
_space_group_IT_number 99
loop_
_space_group_symop_operation_xyz
'x,y,z'
'-y,x,z'
'-x,-y,z'
'y,-x,z'
'-x,y,z'
'y,x,z'
'x,-y,z'
'-y,-x,z'
loop_
_atom_site_label
_atom_site_fract_x
_atom_site_fract_y
_atom_site_fract_z
Ac1 0.000 0.000 0.000
Pr1 0.000 0.000 0.459
Mg1 0.500 0.500 0.711
Zn1 0.500 0.500 0.255
```

Values from the calculation:
For the total DFT energy (no corrections), the calculation gives -3.117 eV/atom. The calculation puts the formation energy at -178 meV per atom.

# 12
AcPrMgZn | GGA-PBE | optimized geometry

```
data_AcPrMgZn
_chemical_formula_sum 'Ac4 Pr4 Mg4 Zn4'
_cell_length_a 7.818
_cell_length_b 7.818
_cell_length_c 7.818
_cell_angle_alpha 90.00
_cell_angle_beta 90.00
_cell_angle_gamma 90.00
_space_group_name_H-M_alt 'F -4 3 m'
_space_group_IT_number 216
_space_group_name_Hall 'F -4 2 3'
loop_
_atom_site_label
_atom_site_fract_x
_atom_site_fract_y
_atom_site_fract_z
Ac1 0.000 0.000 0.000
Pr1 0.000 0.000 0.500
Mg1 0.250 0.250 0.750
Zn1 0.250 0.250 0.250
```

Values from the calculation:
For the total DFT energy (no corrections), the calculation gives -3.081 eV/atom. The calculation puts the formation energy at -142 meV per atom.